[1]
The following is a GGA-PBE calculation of an optimized crystal structure of Sn2H2Pd7, from the Alexandria database.

Values from the calculation:
DFT total energy, eV per atom: -4.91

```
Sn2H2Pd7
1.0
5.712 0.285 0.372
-0.734 5.275 0.198
-0.734 -1.177 5.146
Sn H Pd
2 2 7
Direct
0.500 0.190 0.810 Sn
0.500 0.810 0.190 Sn
0.960 0.732 0.732 H
0.040 0.268 0.268 H
0.172 0.503 0.842 Pd
0.828 0.158 0.497 Pd
0.828 0.497 0.158 Pd
0.172 0.842 0.503 Pd
0.361 0.315 0.315 Pd
0.000 0.000 0.000 Pd
0.639 0.685 0.685 Pd
```

[2]
The following is a GGA-PBE calculation of an optimized crystal structure of SnH2Pd8, from the Alexandria database.

Values from the calculation:
DFT total energy, eV per atom: -4.82

```
SnH2Pd8
1.0
4.217 0.569 0.000
0.925 7.131 0.000
0.462 3.566 5.296
Sn H Pd
1 2 8
Direct
0.500 0.000 0.000 Sn
0.000 0.238 0.525 H
0.000 0.762 0.475 H
0.910 0.073 0.259 Pd
0.910 0.332 0.741 Pd
0.305 0.390 0.000 Pd
0.500 0.745 0.511 Pd
0.500 0.255 0.489 Pd
0.695 0.610 0.000 Pd
0.090 0.668 0.259 Pd
0.090 0.927 0.741 Pd
```

[3]
The following is a GGA-PBE calculation of an optimized crystal structure of SnH6Pd8, from the Alexandria database.

Values from the calculation:
DFT total energy, eV per atom: -4.55

```
SnH6Pd8
1.0
-1.909 -4.222 2.960
4.321 0.964 3.261
-3.242 3.757 2.367
Sn H Pd
1 6 8
Direct
0.000 0.000 0.000 Sn
0.681 0.377 0.794 H
0.377 0.794 0.681 H
0.794 0.681 0.377 H
0.319 0.623 0.206 H
0.623 0.206 0.319 H
0.206 0.319 0.623 H
0.680 0.680 0.680 Pd
0.320 0.320 0.320 Pd
0.580 0.879 0.210 Pd
0.879 0.210 0.580 Pd
0.210 0.580 0.879 Pd
0.420 0.121 0.790 Pd
0.121 0.790 0.420 Pd
0.790 0.420 0.121 Pd
```

[4]
The following is a GGA-PBE calculation of an optimized crystal structure of Sn2HPd5, from the Alexandria database.

Values from the calculation:
Offset from the most stable computed form, eV/atom: 0.273

```
Sn2HPd5
1.0
3.600 0.000 0.000
-1.800 7.562 0.000
0.000 0.000 10.695
Sn H Pd
4 2 10
Direct
0.869 0.739 0.404 Sn
0.869 0.739 0.096 Sn
0.131 0.261 0.596 Sn
0.131 0.261 0.904 Sn
0.871 0.743 0.750 H
0.129 0.257 0.250 H
0.959 0.919 0.882 Pd
0.959 0.919 0.618 Pd
0.241 0.482 0.390 Pd
0.241 0.482 0.110 Pd
0.645 0.290 0.250 Pd
0.355 0.710 0.750 Pd
0.759 0.518 0.610 Pd
0.759 0.518 0.890 Pd
0.041 0.081 0.118 Pd
0.041 0.081 0.382 Pd
```

Number 1: density of states at the Fermi level 0.3669 states/eV per atom. Number 2: density of states at the Fermi level 0.7916 states/eV per atom. Number 3: density of states at the Fermi level 0.2941 states/eV per atom. Number 4: density of states at the Fermi level 0.3699 states/eV per atom.